DFT (PBE with a Hubbard U) results for a relaxed structure of KTl2CrF6.

Cell lengths 8.9847, 8.9847, 8.9847 Å; angles 90.00, 90.00, 90.00 degrees
Closest atoms and distances in Å follow each position.
Space group Fm-3m (No. 225)
One atom of each set of equivalent atoms:
K (0.0000, 0.0000, 0.0000)  6 F 2.54
Tl (0.2500, 0.2500, 0.2500)  12 F 3.19
Cr (0.0000, 0.0000, 0.5000)  6 F 1.95
F (0.0000, 0.0000, 0.2828)  1 Cr 1.95

Properties
The total energy is -4.8895 eV/atom.